1.
The following is a PBE-GGA calculation of a relaxed PrSmCuHg crystal, from the Alexandria database.

```
PrSmCuHg
1.0
-1.556 -2.576 2.113
-1.878 -1.249 -2.905
5.659 -4.744 -1.618
Sm Hg Pr Cu
1 1 1 1
Cartesian
1.591 -4.686 -1.342
4.791 -4.017 -1.370
-1.005 -2.509 -0.600
2.099 -1.760 -0.600
```

Results
Space group: P4mm (99)
Spin magnetization: 0.02 μB per atom


2.
The following is a PBE-GGA calculation of a relaxed PrSmCuHg crystal, from the Alexandria database.

```
PrSmCuHg
1.0
-1.433 -2.790 4.234
3.395 -0.697 3.969
-0.799 2.427 4.608
Cu Pr Hg Sm
1 1 1 1
Cartesian
0.291 -0.265 3.202
0.000 0.000 0.000
0.872 -0.795 9.607
0.581 -0.530 6.405
```

Results
Space group: F-43m (216)
Spin magnetization: 0.00 μB per atom


What should be chosen as the least stable of them? Choose 2.


1.
The following is a PBE-GGA calculation of a relaxed CuHg2Pt crystal, from the Alexandria database.

```
CuHg2Pt
1.0
3.918 0.000 0.000
0.000 2.999 0.116
0.000 2.841 6.141
Hg Cu Pt
2 1 1
Cartesian
0.000 2.848 6.093
0.000 2.914 3.176
1.959 4.380 4.693
1.959 1.460 1.564
```

Results
Space group: P2/m (10)
Spin magnetization: 0.00 μB per atom


2.
The following is a PBE-GGA calculation of a relaxed CuHg2Pt crystal, from the Alexandria database.

```
CuHg2Pt
1.0
-2.458 -0.578 -4.862
-1.596 -3.273 -4.094
-4.619 -1.192 1.001
Cu Hg Pt
1 2 1
Cartesian
-6.796 -3.932 -6.166
-2.353 -1.250 -1.743
-4.416 -1.208 0.719
-4.062 -2.366 -3.740
```

Results
Space group: Cm (8)
Spin magnetization: 0.00 μB per atom


What should be chosen as the least stable of them? Choose 1.


1.
The following is a PBE-GGA calculation of a relaxed CuHg2Pt crystal, from the Alexandria database.

```
CuHg2Pt
1.0
-0.694 1.101 2.777
2.456 -1.413 1.174
4.305 6.301 -1.424
Cu Hg Pt
1 2 1
Cartesian
4.010 4.423 0.941
2.093 1.617 1.575
4.119 6.029 -1.362
2.303 3.371 -0.762
```

Results
Space group: P4mm (99)
Spin magnetization: 0.00 μB per atom


2.
The following is a PBE-GGA calculation of a relaxed CuHg2Pt crystal, from the Alexandria database.

```
CuHg2Pt
1.0
9.151 0.050 0.029
8.628 3.048 0.029
8.628 1.503 2.652
Hg Cu Pt
2 1 1
Cartesian
13.129 2.288 1.347
0.074 0.013 0.008
19.805 3.451 2.033
6.602 1.150 0.678
```

Results
Space group: R-3m (166)
Spin magnetization: 0.00 μB per atom


3.
The following is a PBE-GGA calculation of a relaxed CuHg2Pt crystal, from the Alexandria database.

```
CuHg2Pt
1.0
4.749 -0.014 0.036
3.784 2.870 0.036
0.970 0.325 5.296
Pt Hg Cu
1 2 1
Cartesian
2.376 0.795 1.342
1.001 0.335 5.256
4.721 1.580 2.724
7.128 2.385 4.025
```

Results
Space group: C2/m (12)
Spin magnetization: 0.00 μB per atom


What should be chosen as the least stable of them? Choose 2.


1.
The following is a PBE-GGA calculation of a relaxed CuHg2Pt crystal, from the Alexandria database.

```
CuHg2Pt
1.0
6.794 0.269 0.829
-2.854 3.832 -0.136
1.086 0.919 2.833
Hg Cu Pt
2 1 1
Cartesian
3.940 0.594 1.831
0.000 0.000 0.000
1.970 2.050 0.347
-0.884 2.376 1.349
```

Results
Space group: C2/m (12)
Spin magnetization: 0.00 μB per atom


2.
The following is a PBE-GGA calculation of a relaxed CuHg2Pt crystal, from the Alexandria database.

```
CuHg2Pt
1.0
-4.386 -0.734 -1.386
-2.195 -3.928 1.200
-3.474 0.127 3.100
Hg Pt Cu
2 1 1
Cartesian
-7.541 -3.401 2.186
0.000 0.000 0.000
-2.514 -1.134 0.729
-5.027 -2.267 1.457
```

Results
Space group: F-43m (216)
Spin magnetization: 0.00 μB per atom


What should be chosen as the least stable of them? Choose 2.


1.
The following is a PBE-GGA calculation of a relaxed CuHg2Pt crystal, from the Alexandria database.

```
CuHg2Pt
1.0
-0.183 0.915 -5.332
-3.770 -2.624 -2.864
0.518 3.242 4.303
Pt Hg Cu
1 2 1
Cartesian
-1.871 -0.809 -3.879
-0.800 1.660 -2.522
-0.075 -0.032 -0.155
-2.665 -0.140 -1.436
```

Results
Space group: Imm2 (44)
Spin magnetization: 0.00 μB per atom


2.
The following is a PBE-GGA calculation of a relaxed CuHg2Pt crystal, from the Alexandria database.

```
CuHg2Pt
1.0
3.924 0.000 0.000
0.000 3.865 0.024
0.000 1.862 5.049
Cu Hg Pt
1 2 1
Cartesian
1.962 3.581 4.018
0.000 5.513 4.600
1.962 1.648 1.720
0.000 3.576 2.346
```

Results
Space group: Pm (6)
Spin magnetization: 0.00 μB per atom


3.
The following is a PBE-GGA calculation of a relaxed CuHg2Pt crystal, from the Alexandria database.

```
CuHg2Pt
1.0
4.041 0.000 0.000
0.000 4.041 0.000
2.020 2.020 9.620
Hg Pt Cu
4 2 2
Cartesian
5.051 5.045 7.215
1.016 3.031 2.405
3.031 3.037 7.215
3.024 1.010 2.405
0.000 0.000 0.000
4.041 2.020 4.810
2.020 2.020 0.000
2.020 4.041 4.810
```

Results
Space group: I-42d (122)
Spin magnetization: 0.00 μB per atom


4.
The following is a PBE-GGA calculation of a relaxed CuHg2Pt crystal, from the Alexandria database.

```
CuHg2Pt
1.0
3.028 -0.010 0.000
0.010 3.028 0.000
0.000 0.000 7.677
Hg Pt Cu
2 1 1
Cartesian
0.000 0.000 3.925
0.000 0.000 7.591
1.519 1.509 1.919
1.519 1.509 5.758
```

Results
Space group: P4/mmm (123)
Spin magnetization: 0.00 μB per atom


What should be chosen as the least stable of them? Choose 3.


1.
The following is a PBE-GGA calculation of a relaxed Pu2CuHg crystal, from the Alexandria database.

```
Pu2CuHg
1.0
-2.539 0.530 -1.852
-3.300 -1.563 4.075
-0.230 5.164 1.794
Hg Pu Cu
1 2 1
Cartesian
-1.269 0.265 -0.926
-1.650 -0.781 2.037
-0.115 2.582 0.897
-3.034 2.066 2.008
```

Results
Space group: P4/mmm (123)
Spin magnetization: 2.92 μB per atom


2.
The following is a PBE-GGA calculation of a relaxed Pu2CuHg crystal, from the Alexandria database.

```
Pu2CuHg
1.0
3.251 0.000 0.000
0.000 3.251 0.000
0.000 0.000 8.613
Cu Hg Pu
1 1 2
Cartesian
1.626 1.626 0.000
1.626 1.626 4.306
0.000 0.000 1.924
0.000 0.000 6.689
```

Results
Space group: P4/mmm (123)
Spin magnetization: 2.93 μB per atom


What should be chosen as the least stable of them? Choose 1.


1.
The following is a PBE-GGA calculation of a relaxed RbCu2Hg2 crystal, from the Alexandria database.

```
RbCu2Hg2
1.0
4.874 0.000 0.000
0.000 4.874 0.000
2.437 2.437 5.414
Cu Hg Rb
2 2 1
Cartesian
2.437 4.874 2.707
4.874 2.437 2.707
4.874 4.874 3.840
2.437 2.437 1.574
0.000 0.000 0.000
```

Results
Space group: I4/mmm (139)
Spin magnetization: 0.00 μB per atom


2.
The following is a PBE-GGA calculation of a relaxed RbCu2Hg2 crystal, from the Alexandria database.

```
RbCu2Hg2
1.0
-0.888 -6.163 -6.026
6.592 -4.389 3.517
-1.909 -1.452 1.767
Cu Hg Rb
4 4 2
Cartesian
-0.210 -3.526 -0.613
4.004 -8.478 -0.130
0.546 -7.406 -2.986
3.248 -4.597 2.243
5.396 -6.080 0.834
3.393 -8.124 -3.010
2.310 -2.428 0.501
0.307 -4.472 -3.344
2.852 -5.276 -1.255
0.000 0.000 0.000
```

Results
Space group: P4/mbm (127)
Spin magnetization: 0.00 μB per atom


3.
The following is a PBE-GGA calculation of a relaxed RbCu2Hg2 crystal, from the Alexandria database.

```
RbCu2Hg2
1.0
8.402 0.000 0.000
0.000 8.402 0.000
0.000 0.000 3.123
Rb Hg Cu
2 4 4
Cartesian
4.201 4.201 0.000
0.000 0.000 0.000
6.971 2.770 1.562
2.770 1.431 1.562
1.431 5.633 1.562
5.633 6.971 1.562
5.149 0.948 0.000
3.253 7.455 0.000
7.455 5.149 0.000
0.948 3.253 0.000
```

Results
Space group: P4/mbm (127)
Spin magnetization: 0.00 μB per atom


What should be chosen as the least stable of them? Choose 2.


1.
The following is a PBE-GGA calculation of a relaxed RbCuHg2 crystal, from the Alexandria database.

```
RbCuHg2
1.0
-2.917 4.716 -2.434
1.521 -1.918 -5.539
-7.770 -3.162 -4.350
Hg Cu Rb
4 2 2
Cartesian
-2.047 -0.283 -5.430
-5.990 -1.776 -7.564
-7.408 0.531 -8.928
-2.885 0.801 -2.725
-0.698 1.399 -3.987
-3.473 -1.840 -6.938
-5.692 1.477 -5.385
0.000 0.000 0.000
```

Results
Space group: I-42d (122)
Spin magnetization: 0.00 μB per atom


2.
The following is a PBE-GGA calculation of a relaxed RbCuHg2 crystal, from the Alexandria database.

```
RbCuHg2
1.0
3.921 -0.581 3.832
-0.499 2.547 4.864
-1.012 -2.934 4.557
Rb Hg Cu
1 2 1
Cartesian
1.205 -0.484 6.626
1.807 -0.726 9.940
0.602 -0.242 3.313
0.000 0.000 0.000
```

Results
Space group: Fm-3m (225)
Spin magnetization: 0.00 μB per atom


What should be chosen as the least stable of them? Choose 2.


1.
The following is a PBE-GGA calculation of a relaxed Rb2CuHg2 crystal, from the Alexandria database.

```
Rb2CuHg2
1.0
-5.089 4.119 2.743
-3.874 -0.868 -5.884
-6.226 -1.613 0.055
Rb Hg Cu
2 2 1
Cartesian
-7.291 -0.428 -3.700
-7.898 2.066 0.613
-10.085 1.169 -2.096
-5.104 0.469 -0.990
0.000 0.000 0.000
```

Results
Space group: I4/mmm (139)
Spin magnetization: 0.00 μB per atom


2.
The following is a PBE-GGA calculation of a relaxed Rb2CuHg2 crystal, from the Alexandria database.

```
Rb2CuHg2
1.0
-2.162 5.363 5.197
-7.190 -0.033 -2.957
-1.492 -4.160 3.673
Hg Cu Rb
4 2 4
Cartesian
-2.446 3.459 2.925
-6.906 1.871 -0.686
-6.490 4.559 2.528
-2.861 0.771 -0.288
0.000 0.000 0.000
-4.676 2.665 1.120
-4.860 2.330 5.161
-8.133 1.517 2.910
-5.984 -1.160 0.751
-2.710 -0.346 3.002
```

Results
Space group: P4/mbm (127)
Spin magnetization: 0.00 μB per atom


What should be chosen as the least stable of them? Choose 1.


1.
The following is a PBE-GGA calculation of a relaxed RbCuSnHg2 crystal, from the Alexandria database.

```
RbCuSnHg2
1.0
-0.228 5.308 -0.759
-4.166 -0.653 -3.320
-3.227 0.428 3.965
Cu Rb Sn Hg
1 1 1 2
Cartesian
0.000 0.000 0.000
-3.810 2.542 -0.057
-1.614 0.214 1.982
-0.114 2.654 -0.379
-2.083 -0.327 -1.660
```

Results
Space group: P4/mmm (123)
Spin magnetization: 0.00 μB per atom


2.
The following is a PBE-GGA calculation of a relaxed RbCuSnHg2 crystal, from the Alexandria database.

```
RbCuSnHg2
1.0
-0.827 -2.606 5.322
1.882 -5.211 -2.259
4.696 1.138 1.287
Hg Rb Sn Cu
2 1 1 1
Cartesian
-0.414 -1.303 2.661
0.941 -2.606 -1.130
2.875 -3.340 2.175
0.000 0.000 0.000
2.348 0.569 0.644
```

Results
Space group: P4/mmm (123)
Spin magnetization: 0.00 μB per atom


What should be chosen as the least stable of them? Choose 2.


1.
The following is a PBE-GGA calculation of a relaxed RbTlCuHg2 crystal, from the Alexandria database.

```
RbTlCuHg2
1.0
5.328 0.000 0.000
0.000 5.328 0.000
0.000 0.000 5.382
Hg Tl Cu Rb
2 1 1 1
Cartesian
0.000 2.664 0.000
2.664 0.000 0.000
0.000 0.000 2.691
0.000 0.000 0.000
2.664 2.664 2.691
```

Results
Space group: P4/mmm (123)
Spin magnetization: 0.00 μB per atom


2.
The following is a PBE-GGA calculation of a relaxed RbTlCuHg2 crystal, from the Alexandria database.

```
RbTlCuHg2
1.0
5.234 0.000 0.000
0.000 6.078 0.000
0.000 0.000 5.234
Hg Cu Rb Tl
2 1 1 1
Cartesian
2.617 0.000 0.000
0.000 0.000 2.617
0.000 0.000 0.000
0.000 3.039 0.000
2.617 3.039 2.617
```

Results
Space group: P4/mmm (123)
Spin magnetization: 0.00 μB per atom


What should be chosen as the least stable of them? Choose 2.


1.
The following is a PBE-GGA calculation of a relaxed CuReHg crystal, from the Alexandria database.

```
CuReHg
1.0
6.596 0.006 0.000
5.440 3.730 0.000
-6.018 -1.868 1.950
Re Hg Cu
1 1 1
Cartesian
7.862 2.441 0.000
4.070 1.264 0.000
0.103 0.032 0.000
```

Results
Space group: I4mm (107)
Spin magnetization: 0.00 μB per atom


2.
The following is a PBE-GGA calculation of a relaxed CuReHg crystal, from the Alexandria database.

```
CuReHg
1.0
2.831 0.000 0.000
-1.415 2.452 0.000
0.000 0.000 6.943
Cu Re Hg
1 1 1
Cartesian
0.000 0.000 6.853
0.000 1.634 4.786
1.415 0.817 2.248
```

Results
Space group: P3m1 (156)
Spin magnetization: 0.00 μB per atom


What should be chosen as the least stable of them? Choose 1.